(1)
First-principles (PBE) data for BaThWN4 after structural relaxation, as listed in Alexandria.

a b c (Å): 6.2333 6.0644 7.5652
angles (deg): 90.00 106.62 90.00
Last column: nearest neighbours and their distance in Å.
Space group P2_1/m (No. 11)
Inequivalent atoms, fractional coordinates:
Ba  0.2044  0.2500  0.4202 (multiplicity 2)  2 N 2.69-2.85
Th  0.2936  0.2500  0.9484 (multiplicity 2)  6 N 2.39-2.62
W  0.2428  0.7500  0.1685 (multiplicity 2)  4 N 1.84-1.90
N  0.0423  0.7500  0.9362 (multiplicity 2)  1 W 1.84
N  0.0474  0.7500  0.3188 (multiplicity 2)  1 W 1.89
N  0.4439  0.5103  0.1890 (multiplicity 4)  1 W 1.90

Results
- D(E_F): 0.000 states/eV/cell
- ΔE_f (raw): -1061 meV per atom
- E_tot: -9.00 eV/atom

***

(2)
First-principles (PBE) data for EuSnPb after structural relaxation, as listed in Alexandria.

a b c (Å): 5.4501 5.4501 3.5938
angles (deg): 90.00 90.00 120.00
Last column: nearest neighbours and their distance in Å.
Space group P-6m2 (No. 187)
Inequivalent atoms, fractional coordinates:
Eu  0.0000  0.0000  0.0000 (multiplicity 1)  2 Eu 3.59, 6 Pb 3.62, 6 Sn 3.62
Sn  0.6667  0.3333  0.5000 (multiplicity 1)  3 Pb 3.15
Pb  0.3333  0.6667  0.5000 (multiplicity 1)  3 Sn 3.15

Results
- D(E_F): 7.575 states/eV/cell
- Energy relative to the elements: -0.409 eV/atom
- Polymorph energy (0 for the lowest one): 0.0000 eV/atom
- E_tot: -6.40 eV/atom

***

(3)
First-principles (PBE) data for LaZrFe4 after structural relaxation, as listed in Alexandria.

a b c (Å): 7.2573 7.2573 7.2573
angles (deg): 90.00 90.00 90.00
Last column: nearest neighbours and their distance in Å.
Space group F-43m (No. 216)
Inequivalent atoms, fractional coordinates:
La  0.0000  0.0000  0.0000 (multiplicity 4)  12 Fe 3.01, 4 Zr 3.14
Zr  0.2500  0.2500  0.7500 (multiplicity 4)  12 Fe 3.01, 4 La 3.14
Fe  0.1242  0.1242  0.3758 (multiplicity 16)  6 Fe 2.55-2.58

Results
- D(E_F): 26.118 states/eV/cell
- Energy relative to the elements: 0.008 eV/atom
- E_tot: -7.88 eV/atom

***

(4)
First-principles (PBE) data for BaBPbN2 after structural relaxation, as listed in Alexandria.

a b c (Å): 4.5404 4.5404 4.2648
angles (deg): 90.00 90.00 90.00
Last column: nearest neighbours and their distance in Å.
Space group P4/mmm (No. 123)
Inequivalent atoms, fractional coordinates:
Ba  0.0000  0.0000  0.0000 (multiplicity 1)  8 N 3.11, 4 Pb 3.21
B  0.5000  0.5000  0.5000 (multiplicity 1)  2 Pb 2.13, 4 N 2.27
Pb  0.5000  0.5000  0.0000 (multiplicity 1)  2 B 2.13
N  0.0000  0.5000  0.5000 (multiplicity 2)  2 B 2.27

Results
- D(E_F): 2.184 states/eV/cell
- ΔE_f (raw): 1485 meV per atom
- E_tot: -4.31 eV/atom

***

(5)
First-principles (PBE) data for ZrCd2As after structural relaxation, as listed in Alexandria.

a b c (Å): 4.3201 4.3385 9.2223
angles (deg): 90.00 90.00 90.00
Last column: nearest neighbours and their distance in Å.
Space group Cmmm (No. 65)
Inequivalent atoms, fractional coordinates:
Zr  0.0000  0.0000  0.0000 (multiplicity 2)  4 Zr 3.06, 8 Cd 3.16
Cd  0.0000  0.5000  0.2498 (multiplicity 4)  4 Cd 3.06, 4 Zr 3.16, 4 As 3.16-3.17
As  0.0000  0.0000  0.5000 (multiplicity 2)  4 As 3.06, 8 Cd 3.16-3.17

Results
- D(E_F): 5.467 states/eV/cell
- Energy relative to the elements: 0.035 eV/atom
- E_tot: -3.72 eV/atom

***

(6)
First-principles (PBE) data for SrScAsO5 after structural relaxation, as listed in Alexandria.

a b c (Å): 7.0728 9.4513 7.4012
angles (deg): 90.00 112.67 90.00
Last column: nearest neighbours and their distance in Å.
Space group C2/c (No. 15)
Inequivalent atoms, fractional coordinates:
Sr  0.0000  0.1748  0.2500 (multiplicity 4)  3 O 2.37-2.62
Sc  0.0000  0.5000  0.0000 (multiplicity 4)  2 O 1.98
As  0.0000  0.1792  0.7500 (multiplicity 4)  4 O 1.73
O  0.0000  0.4256  0.2500 (multiplicity 4)  2 Sc 1.98
O  0.1037  0.2836  0.6190 (multiplicity 8)  1 As 1.73
O  0.1753  0.0688  0.9174 (multiplicity 8)  1 As 1.73

Results
- D(E_F): 0.000 states/eV/cell
- ΔE_f (raw): -2515 meV per atom
- E_tot: -7.20 eV/atom

***

(7)
First-principles (PBE) data for Tb2Y12Th5 after structural relaxation, as listed in Alexandria.

a b c (Å): 18.7510 7.0585 10.2666
angles (deg): 90.00 112.79 90.00
Last column: nearest neighbours and their distance in Å.
Space group C2/m (No. 12)
Inequivalent atoms, fractional coordinates:
Tb  0.0000  0.2160  0.0000 (multiplicity 4)  2 Y 3.05, 1 Tb 3.05
Y  0.0038  0.0000  0.3247 (multiplicity 4)  7 Y 3.41-3.71, 2 Tb 3.64
Y  0.0295  0.5000  0.2391 (multiplicity 4)  2 Th 2.94-3.21, 2 Tb 3.05
Y  0.1581  0.2537  0.8645 (multiplicity 8)  6 Y 3.41-3.69, 2 Th 3.53-3.61, 1 Tb 3.74
Y  0.1672  0.2508  0.5203 (multiplicity 8)  6 Y 3.29-3.60, 2 Th 3.53-3.62
Th  0.0000  0.5000  0.5000 (multiplicity 2)  2 Y 2.94
Th  0.1767  0.0000  0.2085 (multiplicity 4)  2 Tb 3.52, 2 Th 3.55, 9 Y 3.62-3.87
Th  0.1856  0.5000  0.1797 (multiplicity 4)  3 Y 3.21-3.53, 2 Th 3.55

Results
- D(E_F): 64.111 states/eV/cell
- Energy relative to the elements: 0.216 eV/atom
- E_tot: -6.31 eV/atom

***

Copy entry 6 word for word.
First-principles (PBE) data for SrScAsO5 after structural relaxation, as listed in Alexandria.

a b c (Å): 7.0728 9.4513 7.4012
angles (deg): 90.00 112.67 90.00
Last column: nearest neighbours and their distance in Å.
Space group C2/c (No. 15)
Inequivalent atoms, fractional coordinates:
Sr  0.0000  0.1748  0.2500 (multiplicity 4)  3 O 2.37-2.62
Sc  0.0000  0.5000  0.0000 (multiplicity 4)  2 O 1.98
As  0.0000  0.1792  0.7500 (multiplicity 4)  4 O 1.73
O  0.0000  0.4256  0.2500 (multiplicity 4)  2 Sc 1.98
O  0.1037  0.2836  0.6190 (multiplicity 8)  1 As 1.73
O  0.1753  0.0688  0.9174 (multiplicity 8)  1 As 1.73

Results
- D(E_F): 0.000 states/eV/cell
- ΔE_f (raw): -2515 meV per atom
- E_tot: -7.20 eV/atom

***

Question: What is the formula in the sixth record?
Answer: SrScAsO5

***

Question: Which formula does entry 1 have?
Answer: BaThWN4